1.
## KPr2Cr2N6 (PBE)

Data for an optimized crystal structure of KPr2Cr2N6.

Cell lengths 6.659, 6.108, 6.463 Å; angles 114.18, 85.76, 63.41 degrees
Positions (direct):
K  0.500  0.000  0.500
Pr  0.815  0.395  0.790
Pr  0.185  0.605  0.210
Cr  0.174  0.788  0.825
Cr  0.826  0.212  0.175
N  0.385  0.751  0.963
N  0.907  0.447  0.196
N  0.174  0.880  0.609
N  0.093  0.553  0.804
N  0.826  0.120  0.391
N  0.615  0.249  0.037

## Properties
As for the space-group type: P-1, No. 2. The calculation puts the formation energy without anion corrections at -0.547 eV per atom. The calculation puts the total moment at 0.090 μB/atom. As for the calculated total energy: -7.81 eV per atom.


2.
## KPuCrN3 (PBE)

Data for an optimized crystal structure of KPuCrN3.

Cell lengths 3.716, 6.806, 7.633 Å; angles 104.14, 90.00, 105.84 degrees
Positions (direct):
K  0.361  0.721  0.937
K  0.639  0.279  0.063
Pu  0.654  0.309  0.575
Pu  0.346  0.691  0.425
Cr  0.003  0.006  0.322
Cr  0.997  0.994  0.678
N  0.857  0.714  0.249
N  0.833  0.665  0.602
N  0.509  0.018  0.312
N  0.167  0.335  0.398
N  0.491  0.982  0.688
N  0.143  0.286  0.751

## Properties
As for the space-group type: C2/m, No. 12. The calculation puts the formation energy without anion corrections at -0.588 eV per atom. The calculation puts the total moment at 0.763 μB/atom. As for the calculated total energy: -8.93 eV per atom.


3.
## K2PuCrN4 (PBE)

Data for an optimized crystal structure of K2PuCrN4.

Cell lengths 5.644, 7.633, 6.722 Å; angles 90.00, 90.00, 90.00 degrees
Positions (direct):
K  0.467  0.357  0.258
K  0.467  0.357  0.742
K  0.967  0.643  0.758
K  0.967  0.643  0.242
Pu  0.985  0.112  0.500
Pu  0.485  0.888  0.000
Cr  0.507  0.843  0.500
Cr  0.007  0.157  0.000
N  0.311  0.133  0.000
N  0.811  0.867  0.500
N  0.374  0.051  0.500
N  0.874  0.949  0.000
N  0.445  0.730  0.728
N  0.945  0.270  0.228
N  0.945  0.270  0.772
N  0.445  0.730  0.272

## Properties
As for the space-group type: Pmn2_1, No. 31. The calculation puts the formation energy without anion corrections at -0.426 eV per atom. The calculation puts the total moment at 0.500 μB/atom. As for the calculated total energy: -7.86 eV per atom.


4.
## KRb2CrN (PBE)

Data for an optimized crystal structure of KRb2CrN.

Cell lengths 7.042, 6.734, 7.042 Å; angles 90.00, 90.00, 90.00 degrees
Positions (direct):
Cr  0.000  0.000  0.000
K  0.000  0.500  0.000
Rb  0.000  0.000  0.500
Rb  0.500  0.000  0.000
N  0.500  0.500  0.500

## Properties
As for the space-group type: P4/mmm, No. 123. The calculation puts the formation energy without anion corrections at 1.517 eV per atom. The calculation puts the total moment at 1.531 μB/atom. As for the calculated total energy: -2.68 eV per atom.


5.
## KCrSN2 (PBE)

Data for an optimized crystal structure of KCrSN2.

Cell lengths 3.884, 3.884, 4.811 Å; angles 90.00, 90.00, 90.00 degrees
Positions (direct):
Cr  0.000  0.000  0.000
K  0.500  0.500  0.500
S  0.000  0.000  0.500
N  0.000  0.500  0.000
N  0.500  0.000  0.000

## Properties
The energy above the lowest structure with this stoichiometry is 0.0000 eV per atom. As for the space-group type: P4/mmm, No. 123. The calculation puts the formation energy without anion corrections at 0.309 eV per atom. The calculation puts the total moment at 0.224 μB/atom. As for the calculated total energy: -5.99 eV per atom.


6.
## KCrSN2 (PBE)

Data for an optimized crystal structure of KCrSN2.

Cell lengths 4.712, 4.712, 5.865 Å; angles 90.00, 90.00, 90.00 degrees
Positions (direct):
Cr  0.500  0.500  0.500
K  0.000  0.000  0.000
S  0.000  0.000  0.500
N  0.000  0.500  0.000
N  0.500  0.000  0.000

## Properties
The energy above the lowest structure with this stoichiometry is 1.9977 eV per atom. As for the space-group type: P4/mmm, No. 123. The calculation puts the formation energy without anion corrections at 2.306 eV per atom. The calculation puts the total moment at 0.200 μB/atom. As for the calculated total energy: -3.99 eV per atom.


7.
## KSmCrN3 (PBE)

Data for an optimized crystal structure of KSmCrN3.

Cell lengths 3.725, 6.947, 7.956 Å; angles 104.45, 90.00, 105.55 degrees
Positions (direct):
K  0.363  0.726  0.932
K  0.637  0.274  0.068
Sm  0.661  0.322  0.593
Sm  0.339  0.678  0.407
Cr  0.008  0.016  0.332
Cr  0.992  0.984  0.668
N  0.876  0.751  0.213
N  0.848  0.695  0.642
N  0.512  0.025  0.348
N  0.152  0.305  0.358
N  0.488  0.975  0.652
N  0.124  0.249  0.787

## Properties
As for the space-group type: C2/m, No. 12. The calculation puts the formation energy without anion corrections at -0.475 eV per atom. The calculation puts the total moment at 0.000 μB/atom. As for the calculated total energy: -7.21 eV per atom.


8.
## KSr2Cr2N4 (PBE)

Data for an optimized crystal structure of KSr2Cr2N4.

Cell lengths 3.348, 7.938, 8.949 Å; angles 133.27, 90.00, 102.17 degrees
Positions (direct):
K  0.000  0.000  0.000
Sr  0.864  0.727  0.434
Sr  0.136  0.273  0.566
Cr  0.331  0.662  0.063
Cr  0.669  0.338  0.937
N  0.781  0.561  0.907
N  0.219  0.439  0.093
N  0.476  0.952  0.293
N  0.524  0.048  0.707

## Properties
As for the space-group type: C2/m, No. 12. The calculation puts the formation energy without anion corrections at -0.537 eV per atom. The calculation puts the total moment at 0.095 μB/atom. As for the calculated total energy: -6.87 eV per atom.


9.
## KTbCrN3 (PBE)

Data for an optimized crystal structure of KTbCrN3.

Cell lengths 3.736, 6.854, 7.766 Å; angles 104.47, 90.00, 105.81 degrees
Positions (direct):
K  0.362  0.724  0.933
K  0.638  0.276  0.067
Tb  0.661  0.321  0.583
Tb  0.339  0.679  0.417
Cr  0.005  0.009  0.334
Cr  0.995  0.991  0.666
N  0.869  0.739  0.223
N  0.844  0.688  0.632
N  0.511  0.022  0.330
N  0.156  0.312  0.368
N  0.489  0.978  0.670
N  0.131  0.261  0.777

## Properties
As for the space-group type: C2/m, No. 12. The calculation puts the formation energy without anion corrections at -0.516 eV per atom. The calculation puts the total moment at 0.000 μB/atom. As for the calculated total energy: -7.24 eV per atom.


10.
## KCrTeN2 (PBE)

Data for an optimized crystal structure of KCrTeN2.

Cell lengths 4.095, 4.095, 5.539 Å; angles 90.00, 90.00, 90.00 degrees
Positions (direct):
Cr  0.000  0.000  0.000
K  0.500  0.500  0.500
Te  0.000  0.000  0.500
N  0.000  0.500  0.000
N  0.500  0.000  0.000

## Properties
As for the space-group type: P4/mmm, No. 123. The calculation puts the formation energy without anion corrections at 0.675 eV per atom. The calculation puts the total moment at 0.180 μB/atom. As for the calculated total energy: -5.43 eV per atom.


11.
## KCrTe2N (PBE)

Data for an optimized crystal structure of KCrTe2N.

Cell lengths 5.911, 5.911, 3.539 Å; angles 90.00, 90.00, 90.00 degrees
Positions (direct):
Cr  0.000  0.000  0.000
K  0.500  0.500  0.500
Te  0.000  0.500  0.000
Te  0.500  0.000  0.000
N  0.000  0.000  0.500

## Properties
As for the space-group type: P4/mmm, No. 123. The calculation puts the formation energy without anion corrections at -0.150 eV per atom. The calculation puts the total moment at 0.344 μB/atom. As for the calculated total energy: -5.22 eV per atom.


12.
## KThCrN4 (PBE)

Data for an optimized crystal structure of KThCrN4.

Cell lengths 6.065, 5.576, 7.755 Å; angles 90.00, 104.53, 90.00 degrees
Positions (direct):
K  0.706  0.750  0.923
K  0.294  0.250  0.077
Th  0.765  0.750  0.438
Th  0.235  0.250  0.562
Cr  0.233  0.750  0.333
Cr  0.767  0.250  0.667
N  0.950  0.493  0.678
N  0.050  0.993  0.322
N  0.050  0.507  0.322
N  0.950  0.007  0.678
N  0.424  0.750  0.198
N  0.576  0.250  0.802
N  0.411  0.750  0.544
N  0.589  0.250  0.456

## Properties
As for the space-group type: P2_1/m, No. 11. The calculation puts the formation energy without anion corrections at -0.634 eV per atom. The calculation puts the total moment at 0.147 μB/atom. As for the calculated total energy: -7.98 eV per atom.